First-principles (GGA-PBE) data for a relaxed structure of PrY2Au2, as listed in Alexandria.

```
10
Lattice="8.293 0.000 0.000 0.000 8.293 0.000 0.000 0.000 3.838" Properties=species:S:1:pos:R:3 pbc="T T T"
Pr 0.000 0.000 0.000
Pr 4.147 4.147 0.000
Y 1.339 2.808 1.919
Y 2.808 6.954 1.919
Y 5.486 1.339 1.919
Y 6.954 5.486 1.919
Au 1.079 5.226 0.000
Au 3.068 1.079 0.000
Au 5.226 7.215 0.000
Au 7.215 3.068 0.000
```

Results
offset from the most stable computed form	0.0000	eV/atom
calculated density	9.0	g cm⁻³